DFT (PBE-GGA) results for a relaxed structure of RbGa2Te4.

Summary:
The value obtained for the uncorrected formation energy is -0.430 eV/atom. Its energy is -3.2280 eV per atom. As for the magnetization: 0.00 μB per cell.

Cell and atoms, written as extended XYZ:
```
14
Lattice="3.454 -6.234 0.000 3.454 6.234 0.000 0.000 0.000 12.808" Properties=species:S:1:pos:R:3 pbc="T T T"
Rb 0.000 0.000 3.202
Rb 0.000 0.000 9.606
Ga 3.450 3.101 0.000
Ga 3.457 3.101 6.404
Ga 3.450 -3.101 6.404
Ga 3.457 -3.101 0.000
Te 1.727 3.117 4.385
Te 1.727 3.117 8.423
Te 1.720 1.092 0.000
Te 1.720 -1.092 6.404
Te 1.727 -3.117 2.019
Te 1.727 -3.117 10.788
Te 5.188 1.092 6.404
Te 5.188 -1.092 0.000
```

=====

DFT (PBE-GGA) results for a relaxed structure of Ca4NdPt5.

Summary:
Its energy is -5.2259 eV per atom. For the energy of formation, the calculation gives -0.928 eV per atom. As for the magnetization: 0.00 μB per cell.

Cell and atoms, written as extended XYZ:
```
10
Lattice="3.542 0.000 0.000 0.000 3.542 0.000 0.000 0.000 17.422" Properties=species:S:1:pos:R:3 pbc="T T T"
Ca 0.000 0.000 1.709
Ca 0.000 0.000 5.116
Ca 0.000 0.000 12.306
Ca 0.000 0.000 15.713
Nd 0.000 0.000 8.711
Pt 1.771 1.771 0.000
Pt 1.771 1.771 3.443
Pt 1.771 1.771 6.962
Pt 1.771 1.771 10.459
Pt 1.771 1.771 13.979
```

=====

DFT (PBE-GGA) results for a relaxed structure of Ba2TlCo.

Summary:
Its energy is -3.0963 eV per atom. For the energy of formation, the calculation gives 0.233 eV per atom. As for the magnetization: 1.39 μB per cell.

Cell and atoms, written as extended XYZ:
```
4
Lattice="5.817 0.000 0.000 0.000 5.817 0.000 0.000 0.000 4.127" Properties=species:S:1:pos:R:3 pbc="T T T"
Ba 0.000 2.908 0.000
Ba 2.908 0.000 0.000
Tl 0.000 0.000 2.063
Co 2.908 2.908 2.063
```

=====

DFT (PBE-GGA) results for a relaxed structure of ZrSi2Rh.

Summary:
The value obtained for the uncorrected formation energy is -0.295 eV/atom. Its energy is -6.9814 eV per atom. As for the magnetization: 0.00 μB per cell.

Cell and atoms, written as extended XYZ:
```
4
Lattice="0.000 3.186 3.186 3.186 0.000 3.186 3.186 3.186 0.000" Properties=species:S:1:pos:R:3 pbc="T T T"
Zr 0.000 0.000 0.000
Si 3.186 3.186 3.186
Si 4.778 4.778 4.778
Rh 1.593 1.593 1.593
```

=====

DFT (PBE-GGA) results for a relaxed structure of Pr3IrSeBr.

Summary:
The value obtained for the uncorrected formation energy is -1.261 eV/atom. Its energy is -5.9867 eV per atom. As for the magnetization: 0.00 μB per cell.

Cell and atoms, written as extended XYZ:
```
12
Lattice="7.888 0.000 0.000 0.000 4.244 0.000 -0.376 0.000 10.668" Properties=species:S:1:pos:R:3 pbc="T T T"
Pr 0.355 1.061 2.337
Pr 1.741 3.183 5.361
Pr 2.723 1.061 8.522
Pr 4.789 3.183 2.146
Pr 5.771 1.061 5.307
Pr 7.158 3.183 8.331
Ir 0.455 1.061 6.910
Ir 7.057 3.183 3.757
Se 3.181 1.061 3.506
Se 4.331 3.183 7.162
Br 1.612 3.183 10.667
Br 5.900 1.061 0.001
```

=====

DFT (PBE-GGA) results for a relaxed structure of PmHBr3.

Summary:
Its energy is -3.7008 eV per atom. As for the magnetization: 2.00 μB per cell. The polymorph energy (0 for the lowest one) comes out at 336.5 meV/atom.

Cell and atoms, written as extended XYZ:
```
10
Lattice="8.097 0.000 0.000 0.000 4.127 0.000 -1.431 0.000 8.191" Properties=species:S:1:pos:R:3 pbc="T T T"
Pm 0.638 1.032 2.207
Pm 6.028 3.095 5.984
H 2.780 1.032 3.066
H 3.886 3.095 5.125
Br -0.308 1.032 7.222
Br 0.706 3.095 4.414
Br 2.704 3.095 1.576
Br 3.962 1.032 6.616
Br 5.960 1.032 3.778
Br 6.974 3.095 0.969
```

=====

DFT (PBE-GGA) results for a relaxed structure of CsTlCoCl4.

Summary:
The value obtained for the uncorrected formation energy is -1.148 eV/atom. Its energy is -3.6786 eV per atom. As for the magnetization: 6.00 μB per cell.

Cell and atoms, written as extended XYZ:
```
14
Lattice="6.860 0.000 0.000 0.000 7.363 0.000 -3.392 0.000 9.215" Properties=species:S:1:pos:R:3 pbc="T T T"
Cs 0.210 1.841 3.765
Cs 3.258 5.522 5.450
Tl 2.183 5.522 0.259
Tl 1.286 1.841 8.956
Co -2.019 1.841 7.303
Co 5.487 5.522 1.912
Cl 1.011 1.841 0.322
Cl 0.565 5.522 3.072
Cl -0.786 0.023 6.791
Cl -0.786 3.659 6.791
Cl 4.254 3.704 2.424
Cl 4.254 7.340 2.424
Cl 2.903 1.841 6.143
Cl 2.458 5.522 8.893
```

=====

DFT (PBE-GGA) results for a relaxed structure of ScRuPb2.

Summary:
Its energy is -5.6278 eV per atom. For the energy of formation, the calculation gives 0.128 eV per atom. As for the magnetization: 0.00 μB per cell. The polymorph energy (0 for the lowest one) comes out at 248.9 meV/atom.

Cell and atoms, written as extended XYZ:
```
4
Lattice="-2.134 2.134 4.722 2.134 -2.134 4.722 2.134 2.134 -4.722" Properties=species:S:1:pos:R:3 pbc="T T T"
Sc 0.000 0.000 0.000
Ru 0.000 2.134 2.361
Pb 2.134 0.000 2.361
Pb 0.000 0.000 4.722
```

=====

DFT (PBE-GGA) results for a relaxed structure of NiAuS2.

Summary:
The value obtained for the uncorrected formation energy is 0.101 eV/atom. Its energy is -4.2270 eV per atom. As for the magnetization: 0.00 μB per cell.

Cell and atoms, written as extended XYZ:
```
8
Lattice="1.574 -10.897 0.000 1.574 10.897 0.000 0.000 0.000 4.189" Properties=species:S:1:pos:R:3 pbc="T T T"
Ni 1.574 9.548 3.142
Ni 1.574 -9.548 1.047
Au 1.574 3.833 3.142
Au 1.574 -3.833 1.047
S 1.574 10.053 1.047
S 1.574 7.303 3.142
S 1.574 -7.303 1.047
S 1.574 -10.053 3.142
```

=====

DFT (PBE-GGA) results for a relaxed structure of Ho3Tm5S8.

Summary:
The value obtained for the uncorrected formation energy is -1.942 eV/atom. Its energy is -6.2613 eV per atom. As for the magnetization: 0.00 μB per cell.

Cell and atoms, written as extended XYZ:
```
16
Lattice="3.857 2.227 6.303 -3.857 2.227 6.303 0.000 -4.454 6.303" Properties=species:S:1:pos:R:3 pbc="T T T"
Ho -1.929 -1.114 6.303
Ho -1.929 1.113 12.606
Ho 0.000 2.227 6.303
Tm 0.000 0.000 0.000
Tm -3.857 0.000 9.454
Tm -1.929 1.113 3.151
Tm 1.929 1.114 3.151
Tm 0.000 0.000 9.454
S -1.940 -1.120 11.011
S 0.000 0.000 4.699
S 0.000 -2.240 7.897
S -1.940 1.120 7.897
S 1.940 -1.120 11.011
S 0.000 2.240 11.011
S 0.000 0.000 14.209
S 1.940 1.120 7.897
```

=====

DFT (PBE-GGA) results for a relaxed structure of As2Au.

Summary:
Its energy is -3.8773 eV per atom. For the energy of formation, the calculation gives 0.315 eV per atom. As for the magnetization: 0.00 μB per cell.

Cell and atoms, written as extended XYZ:
```
3
Lattice="-1.409 1.409 7.407 1.409 -1.409 7.407 1.409 1.409 -7.407" Properties=species:S:1:pos:R:3 pbc="T T T"
As 0.000 0.000 2.291
As 0.000 0.000 12.523
Au 0.000 0.000 7.407
```

=====

DFT (PBE-GGA) results for a relaxed structure of CaIr2Cl.

Summary:
The value obtained for the uncorrected formation energy is -0.382 eV/atom. Its energy is -5.7749 eV per atom. As for the magnetization: 0.00 μB per cell. The polymorph energy (0 for the lowest one) comes out at 0.5 meV/atom.

Cell and atoms, written as extended XYZ:
```
4
Lattice="3.438 0.000 0.000 0.000 3.438 0.000 0.000 0.000 7.848" Properties=species:S:1:pos:R:3 pbc="T T T"
Ca 0.000 0.000 0.000
Ir 0.000 0.000 4.943
Ir 1.719 1.719 5.643
Cl 1.719 1.719 1.427
```